ZnCuPbF6: optimized geometry, PBE-GGA.

Properties
As for the calculated volume: 268.46 Å³ per cell. The value obtained for the formation energy from raw total energies is -2.063 eV per atom. The calculation puts the total magnetization at 2.0 μB per cell. The value obtained for the density of states at the Fermi level is 11.95 states/eV/cell.

Cell: 5.4180 5.4180 10.5603 Å, 90.00 90.00 120.00°
Space group P-31c (No. 163)
One atom of each set of equivalent atoms:
1 Zn 0.3333 0.6667 0.2500 x2
2 Cu 0.3333 0.6667 0.7500 x2
3 Pb 0.0000 0.0000 0.0000 x2
4 F 0.0021 0.3662 0.6434 x12

---

AcErZn2: optimized geometry, PBE-GGA.

Properties
As for the calculated volume: 339.05 Å³ per cell. Its calculated formation energy is -0.055 eV/atom. The calculation puts the total magnetization at 0.0 μB per cell. The value obtained for the density of states at the Fermi level is 13.34 states/eV/cell.

Cell: 3.7874 3.7874 27.2920 Å, 90.00 90.00 120.00°
Space group R-3m (No. 166, hexagonal axes)
One atom of each set of equivalent atoms:
1 Ac 0.0000 0.0000 0.0000 x3
2 Er 0.0000 0.0000 0.5000 x3
3 Zn 0.0000 0.0000 0.2417 x6

---

Li2TcPt: optimized geometry, PBE-GGA.

Properties
As for the calculated volume: 59.10 Å³ per cell. Its calculated formation energy is -0.100 eV/atom. The calculation puts the total magnetization at 0.0 μB per cell. The value obtained for the relative energy among the computed polymorphs is 0.027 eV/atom. The value obtained for the density of states at the Fermi level is 2.31 states/eV/cell.

Cell: 2.6658 4.1228 5.3772 Å, 90.00 90.00 90.00°
Space group Pmm2 (No. 25)
One atom of each set of equivalent atoms:
1 Li 0.0000 0.0000 0.0000 x1
2 Li 0.5000 0.5000 0.2093 x1
3 Tc 0.5000 0.5000 0.6882 x1
4 Pt 0.0000 0.0000 0.5069 x1

---

Al2WC: optimized geometry, PBE-GGA.

Properties
As for the calculated volume: 213.17 Å³ per cell. Its calculated formation energy is 0.527 eV/atom. The calculation puts the total magnetization at 0.0 μB per cell. The value obtained for the density of states at the Fermi level is 8.83 states/eV/cell.

Cell: 6.9653 6.9653 4.3939 Å, 90.00 90.00 90.00°
Space group I-42d (No. 122)
One atom of each set of equivalent atoms:
1 Al 0.1530 0.2500 0.1250 x8
2 W 0.0000 0.0000 0.5000 x4
3 C 0.0000 0.0000 0.0000 x4

---

Sm2DyScBi5: optimized geometry, PBE-GGA.

Properties
As for the calculated volume: 345.68 Å³ per cell. Its calculated formation energy is -0.022 eV/atom. The calculation puts the total magnetization at 0.0 μB per cell. The value obtained for the density of states at the Fermi level is 6.58 states/eV/cell.

Cell: 5.4742 5.4742 11.5355 Å, 90.00 90.00 90.00°
Space group P4/mmm (No. 123)
One atom of each set of equivalent atoms:
1 Sm 0.0000 0.0000 0.2211 x2
2 Dy 0.5000 0.5000 0.0000 x1
3 Sc 0.5000 0.5000 0.5000 x1
4 Bi 0.0000 0.0000 0.5000 x1
5 Bi 0.0000 0.5000 0.0000 x2
6 Bi 0.5000 0.5000 0.2609 x2

---

Sr2CdPd5Au2: optimized geometry, PBE-GGA.

Properties
As for the calculated volume: 412.95 Å³ per cell. Its calculated formation energy is -0.479 eV/atom. The calculation puts the total magnetization at 0.0 μB per cell. The value obtained for the density of states at the Fermi level is 4.97 states/eV/cell.

Cell: 10.0493 10.0493 4.0891 Å, 90.00 90.00 90.00°
Space group P4/mbm (No. 127)
One atom of each set of equivalent atoms:
1 Sr 0.1732 0.3268 0.0000 x4
2 Cd 0.0000 0.0000 0.0000 x2
3 Pd 0.0000 0.5000 0.5000 x2
4 Pd 0.0591 0.8031 0.5000 x8
5 Au 0.1253 0.6253 0.0000 x4

---

Ca2Zn3Ga5: optimized geometry, PBE-GGA.

Properties
As for the calculated volume: 784.20 Å³ per cell. Its calculated formation energy is -0.356 eV/atom. The calculation puts the total magnetization at 0.0 μB per cell. The value obtained for the relative energy among the computed polymorphs is 0.000 eV/atom. The value obtained for the density of states at the Fermi level is 11.71 states/eV/cell.

Cell: 11.0634 11.9362 5.9384 Å, 90.00 90.00 90.00°
Space group Ibam (No. 72)
One atom of each set of equivalent atoms:
1 Ca 0.2496 0.1256 0.0000 x8
2 Zn 0.0000 0.0000 0.2500 x4
3 Zn 0.1374 0.3752 0.0000 x8
4 Ga 0.0000 0.2488 0.2500 x8
5 Ga 0.0000 0.5000 0.2500 x4
6 Ga 0.1397 0.1237 0.5000 x8

---

RhSeBr2F: optimized geometry, PBE-GGA.

Properties
As for the calculated volume: 119.11 Å³ per cell. The value obtained for the formation energy from raw total energies is 0.618 eV per atom. The calculation puts the total magnetization at 3.4 μB per cell. The value obtained for the relative energy among the computed polymorphs is 0.497 eV/atom. The value obtained for the density of states at the Fermi level is 8.49 states/eV/cell.

Cell: 5.5575 5.5575 3.8565 Å, 90.00 90.00 90.00°
Space group P4/mmm (No. 123)
One atom of each set of equivalent atoms:
1 Rh 0.0000 0.0000 0.0000 x1
2 Se 0.5000 0.5000 0.0000 x1
3 Br 0.0000 0.5000 0.5000 x2
4 F 0.5000 0.5000 0.5000 x1

---

KBaAc2Se4: optimized geometry, PBE-GGA.

Properties
As for the calculated volume: 273.57 Å³ per cell. The value obtained for the formation energy from raw total energies is -1.877 eV per atom. The calculation puts the total magnetization at 0.0 μB per cell. The value obtained for the density of states at the Fermi level is 3.12 states/eV/cell.

Cell: 7.8847 4.5568 8.0528 Å, 90.00 109.00 90.00°
Space group P2/m (No. 10)
One atom of each set of equivalent atoms:
1 K 0.0000 0.0000 0.0000 x1
2 Ba 0.5000 0.5000 0.0000 x1
3 Ac 0.0000 0.5000 0.5000 x1
4 Ac 0.5000 0.0000 0.5000 x1
5 Se 0.2446 0.0000 0.7320 x2
6 Se 0.2593 0.5000 0.2728 x2

---

Ca2TbSm5: optimized geometry, PBE-GGA.

Properties
As for the calculated volume: 562.85 Å³ per cell. Its calculated formation energy is 0.053 eV/atom. The calculation puts the total magnetization at 0.0 μB per cell. The value obtained for the density of states at the Fermi level is 22.99 states/eV/cell.

Cell: 5.1693 5.1693 21.0631 Å, 90.00 90.00 90.00°
Space group I4/mmm (No. 139)
One atom of each set of equivalent atoms:
1 Ca 0.0000 0.0000 0.2502 x4
2 Tb 0.0000 0.0000 0.0000 x2
3 Sm 0.0000 0.0000 0.5000 x2
4 Sm 0.0000 0.5000 0.1170 x8

---

ScPaReW: optimized geometry, PBE-GGA.

Properties
As for the calculated volume: 304.03 Å³ per cell. Its calculated formation energy is 0.072 eV/atom. The calculation puts the total magnetization at 0.0 μB per cell. The value obtained for the density of states at the Fermi level is 13.86 states/eV/cell.

Cell: 6.7241 6.7241 6.7241 Å, 90.00 90.00 90.00°
Space group F-43m (No. 216)
One atom of each set of equivalent atoms:
1 Sc 0.0000 0.0000 0.0000 x4
2 Pa 0.0000 0.0000 0.5000 x4
3 Re 0.2500 0.2500 0.2500 x4
4 W 0.2500 0.2500 0.7500 x4

---

Ta2MnOs2: optimized geometry, PBE-GGA.

Properties
As for the calculated volume: 164.94 Å³ per cell. Its calculated formation energy is 0.290 eV/atom. The calculation puts the total magnetization at 0.0 μB per cell. The value obtained for the density of states at the Fermi level is 15.09 states/eV/cell.

Cell: 7.3349 7.3349 3.0658 Å, 90.00 90.00 90.00°
Space group P4/mbm (No. 127)
One atom of each set of equivalent atoms:
1 Ta 0.1653 0.3347 0.0000 x4
2 Mn 0.0000 0.0000 0.5000 x2
3 Os 0.1363 0.6363 0.5000 x4

---

CaSi2Pt: optimized geometry, PBE-GGA.

Properties
As for the calculated volume: 68.78 Å³ per cell. The value obtained for the formation energy from raw total energies is -0.282 eV per atom. The calculation puts the total magnetization at 0.0 μB per cell. The value obtained for the density of states at the Fermi level is 1.05 states/eV/cell.

Cell: 4.0809 4.0809 4.1300 Å, 90.00 90.00 90.00°
Space group P4/mmm (No. 123)
One atom of each set of equivalent atoms:
1 Ca 0.0000 0.0000 0.0000 x1
2 Si 0.0000 0.5000 0.5000 x2
3 Pt 0.5000 0.5000 0.0000 x1

---

PrY2Tl2Ag2: optimized geometry, PBE-GGA.

Properties
As for the calculated volume: 558.95 Å³ per cell. Its calculated formation energy is -0.197 eV/atom. The calculation puts the total magnetization at 0.0 μB per cell. The value obtained for the density of states at the Fermi level is 21.89 states/eV/cell.

Cell: 4.9480 4.9480 26.3626 Å, 90.00 90.00 120.00°
Space group R-3m (No. 166, hexagonal axes)
One atom of each set of equivalent atoms:
1 Pr 0.0000 0.0000 0.0000 x3
2 Y 0.0000 0.0000 0.1328 x6
3 Tl 0.0000 0.0000 0.2623 x6
4 Ag 0.0000 0.0000 0.4355 x6

---

HoErTcAg: optimized geometry, PBE-GGA.

Properties
As for the calculated volume: 340.23 Å³ per cell. Its calculated formation energy is -0.150 eV/atom. The calculation puts the total magnetization at 0.0 μB per cell. The value obtained for the density of states at the Fermi level is 10.56 states/eV/cell.

Cell: 6.9811 6.9811 6.9811 Å, 90.00 90.00 90.00°
Space group F-43m (No. 216)
One atom of each set of equivalent atoms:
1 Ho 0.0000 0.0000 0.0000 x4
2 Er 0.0000 0.0000 0.5000 x4
3 Tc 0.2500 0.2500 0.7500 x4
4 Ag 0.2500 0.2500 0.2500 x4

---

Y2Cu2Bi: optimized geometry, PBE-GGA.

Properties
As for the calculated volume: 223.99 Å³ per cell. Its calculated formation energy is -0.436 eV/atom. The calculation puts the total magnetization at 0.0 μB per cell. The value obtained for the relative energy among the computed polymorphs is 0.000 eV/atom. The value obtained for the density of states at the Fermi level is 6.15 states/eV/cell.

Cell: 7.3896 7.3896 4.1020 Å, 90.00 90.00 90.00°
Space group P4/mbm (No. 127)
One atom of each set of equivalent atoms:
1 Y 0.1698 0.3302 0.0000 x4
2 Cu 0.1180 0.6180 0.5000 x4
3 Bi 0.0000 0.0000 0.5000 x2

---

LiNdP2Pt4: optimized geometry, PBE-GGA.

Properties
As for the calculated volume: 150.05 Å³ per cell. Its calculated formation energy is -0.691 eV/atom. The calculation puts the total magnetization at 0.0 μB per cell. The value obtained for the density of states at the Fermi level is 1.13 states/eV/cell.

Cell: 4.0859 4.0859 8.9879 Å, 90.00 90.00 90.00°
Space group P4/mmm (No. 123)
One atom of each set of equivalent atoms:
1 Li 0.0000 0.0000 0.0000 x1
2 Nd 0.0000 0.0000 0.5000 x1
3 P 0.5000 0.5000 0.1192 x2
4 Pt 0.0000 0.5000 0.2461 x4

---

POs2Se: optimized geometry, PBE-GGA.

Properties
As for the calculated volume: 57.45 Å³ per cell. The value obtained for the formation energy from raw total energies is 0.395 eV per atom. The calculation puts the total magnetization at 0.0 μB per cell. The value obtained for the relative energy among the computed polymorphs is 0.199 eV/atom. The value obtained for the density of states at the Fermi level is 1.85 states/eV/cell.

Cell: 2.9771 2.9771 6.4820 Å, 90.00 90.00 90.00°
Space group P4/mmm (No. 123)
One atom of each set of equivalent atoms:
1 P 0.0000 0.0000 0.0000 x1
2 Os 0.5000 0.5000 0.2121 x2
3 Se 0.0000 0.0000 0.5000 x1

---

HgBi4Pb5: optimized geometry, PBE-GGA.

Properties
As for the calculated volume: 313.83 Å³ per cell. Its calculated formation energy is 0.043 eV/atom. The calculation puts the total magnetization at 0.0 μB per cell. The value obtained for the relative energy among the computed polymorphs is 0.000 eV/atom. The value obtained for the density of states at the Fermi level is 6.69 states/eV/cell.

Cell: 3.6433 3.6433 23.6427 Å, 90.00 90.00 90.00°
Space group P4/mmm (No. 123)
One atom of each set of equivalent atoms:
1 Hg 0.0000 0.0000 0.0000 x1
2 Bi 0.0000 0.0000 0.1915 x2
3 Bi 0.0000 0.0000 0.3961 x2
4 Pb 0.5000 0.5000 0.0917 x2
5 Pb 0.5000 0.5000 0.2934 x2
6 Pb 0.5000 0.5000 0.5000 x1

---

ErMn5B3: optimized geometry, PBE-GGA.

Properties
As for the calculated volume: 395.31 Å³ per cell. Its calculated formation energy is -0.243 eV/atom. The calculation puts the total magnetization at 11.5 μB per cell. The value obtained for the density of states at the Fermi level is 33.09 states/eV/cell.

Cell: 3.1822 11.5768 10.7306 Å, 90.00 90.00 90.00°
Space group Cmcm (No. 63)
One atom of each set of equivalent atoms:
1 Er 0.0000 0.1663 0.2500 x4
2 Mn 0.0000 0.0000 0.0000 x4
3 Mn 0.0000 0.1941 0.5610 x8
4 Mn 0.0000 0.4491 0.1507 x8
5 B 0.0000 0.1473 0.7500 x4
6 B 0.0000 0.3789 0.5490 x8

---

Ac2MgZn12Cu3: optimized geometry, PBE-GGA.

Properties
As for the calculated volume: 1240.22 Å³ per cell. Its calculated formation energy is 0.218 eV/atom. The calculation puts the total magnetization at 0.0 μB per cell. The value obtained for the density of states at the Fermi level is 25.80 states/eV/cell.

Cell: 8.4228 8.4228 20.1862 Å, 90.00 90.00 120.00°
Space group R-3m (No. 166, hexagonal axes)
One atom of each set of equivalent atoms:
1 Ac 0.0000 0.0000 0.1063 x6
2 Mg 0.0000 0.0000 0.5000 x3
3 Zn 0.0122 0.5061 0.8814 x18
4 Zn 0.0203 0.5101 0.3350 x18
5 Cu 0.0000 0.5000 0.0000 x9

---

Tl2WAu: optimized geometry, PBE-GGA.

Properties
As for the calculated volume: 257.20 Å³ per cell. Its calculated formation energy is 0.617 eV/atom. The calculation puts the total magnetization at 0.0 μB per cell. The value obtained for the relative energy among the computed polymorphs is 0.044 eV/atom. The value obtained for the density of states at the Fermi level is 7.80 states/eV/cell.

Cell: 3.1601 3.1601 29.7406 Å, 90.00 90.00 120.00°
Space group R3m (No. 160, hexagonal axes)
One atom of each set of equivalent atoms:
1 Tl 0.0000 0.0000 0.0000 x3
2 Tl 0.0000 0.0000 0.2377 x3
3 W 0.0000 0.0000 0.7485 x3
4 Au 0.0000 0.0000 0.4851 x3

---

HfScAu: optimized geometry, PBE-GGA.

Properties
As for the calculated volume: 122.51 Å³ per cell. Its calculated formation energy is -0.336 eV/atom. The calculation puts the total magnetization at 0.0 μB per cell. The value obtained for the relative energy among the computed polymorphs is 0.143 eV/atom. The value obtained for the density of states at the Fermi level is 6.30 states/eV/cell.

Cell: 5.1881 5.3886 5.4048 Å, 101.27 116.20 104.82°
Space group P1 (No. 1)
One atom of each set of equivalent atoms:
1 Hf 0.0000 0.0000 0.0000 x1
2 Hf 0.2150 0.5130 0.7769 x1
3 Sc 0.3450 0.0206 0.6573 x1
4 Sc 0.5708 0.5344 0.4288 x1
5 Au 0.6725 0.0256 0.3106 x1
6 Au 0.8931 0.5092 0.1189 x1